No. 1
The following is a PBE-GGA calculation of an optimized crystal structure of Ce3CdTe6, from Alexandria.

Lattice parameters (Å, degrees): 12.286 15.053 7.527 90.00 90.00 90.00
Space group Cmc2_1 (No. 36)
Unique sites:
Ce1 0.000 0.100 0.000
Ce2 0.178 0.402 0.897
Cd1 0.000 0.291 0.360
Te1 0.000 0.273 0.733
Te2 0.000 0.467 0.197
Te3 0.162 0.036 0.700
Te4 0.182 0.228 0.157

Values from the calculation:
Crystal system: orthorhombic
Uncorrected formation energy in meV per atom: -1114


No. 2
The following is a PBE-GGA calculation of an optimized crystal structure of Mo3Os, from Alexandria.

Lattice parameters (Å, degrees): 7.790 7.186 4.719 90.00 90.00 90.00
Space group Cmcm (No. 63)
Unique sites:
Mo1 0.000 0.066 0.250
Mo2 0.182 0.244 0.750
Os1 0.000 0.424 0.250

Values from the calculation:
Crystal system: orthorhombic
Relative energy among the computed polymorphs in meV per atom: 561.0


No. 3
The following is a PBE-GGA calculation of an optimized crystal structure of KZnRu, from Alexandria.

Lattice parameters (Å, degrees): 7.066 7.066 7.066 90.00 90.00 90.00
Space group F-43m (No. 216)
Unique sites:
K1 0.000 0.000 0.000
Zn1 0.250 0.250 0.750
Ru1 0.250 0.250 0.250

Values from the calculation:
Crystal system: cubic
Relative energy among the computed polymorphs in meV per atom: 1306.9


No. 4
The following is a PBE-GGA calculation of an optimized crystal structure of CaTc2Ge2P, from Alexandria.

Lattice parameters (Å, degrees): 4.465 4.465 5.617 90.00 90.00 90.00
Space group P4/mmm (No. 123)
Unique sites:
Ca1 0.000 0.000 0.000
Tc1 0.000 0.500 0.500
Ge1 0.500 0.500 0.225
P1 0.000 0.000 0.500

Values from the calculation:
Crystal system: tetragonal
E in eV/cell: -39.17


No. 5
The following is a PBE-GGA calculation of an optimized crystal structure of TaCoBr2, from Alexandria.

Lattice parameters (Å, degrees): 3.1779 3.1779 24.5378 90.00 90.00 120.00
Space group R-3m (No. 166, hexagonal axes)
Unique sites:
Ta1 0.0000 0.0000 0.0000
Co1 0.0000 0.0000 0.5000
Br1 0.0000 0.0000 0.2497

Values from the calculation:
Crystal system: trigonal
Uncorrected formation energy in meV per atom: 531
Relative energy among the computed polymorphs in meV per atom: 805.9


No. 6
The following is a PBE-GGA calculation of an optimized crystal structure of Ce2SiRh, from Alexandria.

Lattice parameters (Å, degrees): 3.730 3.730 6.023 90.00 90.00 90.00
Space group P4/mmm (No. 123)
Unique sites:
Ce1 0.000 0.000 0.236
Si1 0.500 0.500 0.000
Rh1 0.500 0.500 0.500

Values from the calculation:
Crystal system: tetragonal
Uncorrected formation energy in meV per atom: -623


No. 7
The following is a PBE-GGA calculation of an optimized crystal structure of KLaPaS4, from Alexandria.

Lattice parameters (Å, degrees): 8.317 8.724 12.321 90.00 90.00 90.00
Space group Imma (No. 74)
Unique sites:
K1 0.000 0.250 0.129
La1 0.000 0.000 0.500
Pa1 0.250 0.250 0.750
S1 0.000 0.043 0.735
S2 0.225 0.250 0.530

Values from the calculation:
Crystal system: orthorhombic
Uncorrected formation energy in meV per atom: -1753


No. 8
The following is a PBE-GGA calculation of an optimized crystal structure of MgVHg2Pt, from Alexandria.

Lattice parameters (Å, degrees): 5.214 5.214 4.710 90.00 90.00 90.00
Space group P4/mmm (No. 123)
Unique sites:
Mg1 0.000 0.000 0.000
V1 0.500 0.500 0.500
Hg1 0.000 0.500 0.500
Pt1 0.500 0.500 0.000

Values from the calculation:
Crystal system: tetragonal
E in eV/cell: -14.71


No. 9
The following is a PBE-GGA calculation of an optimized crystal structure of Zn2FeMo, from Alexandria.

Lattice parameters (Å, degrees): 2.7198 2.7198 26.6253 90.00 90.00 120.00
Space group R-3m (No. 166, hexagonal axes)
Unique sites:
Zn1 0.0000 0.0000 0.2461
Fe1 0.0000 0.0000 0.5000
Mo1 0.0000 0.0000 0.0000

Values from the calculation:
Crystal system: trigonal
Relative energy among the computed polymorphs in meV per atom: 132.5


No. 10
The following is a PBE-GGA calculation of an optimized crystal structure of Er2RuAu, from Alexandria.

Lattice parameters (Å, degrees): 4.897 4.897 6.959 90.00 90.00 90.00
Space group I4/mmm (No. 139)
Unique sites:
Er1 0.000 0.500 0.250
Ru1 0.000 0.000 0.000
Au1 0.000 0.000 0.500

Values from the calculation:
Crystal system: tetragonal
E in eV/cell: -48.38


No. 11
The following is a PBE-GGA calculation of an optimized crystal structure of P2C, from Alexandria.

Lattice parameters (Å, degrees): 9.608 2.737 3.795 90.00 96.49 90.00
Space group C2/m (No. 12)
Unique sites:
P1 0.084 0.000 0.259
C1 0.000 0.500 0.500

Values from the calculation:
Crystal system: monoclinic
Relative energy among the computed polymorphs in meV per atom: 596.0


No. 12
The following is a PBE-GGA calculation of an optimized crystal structure of LaSbPdRh, from Alexandria.

Lattice parameters (Å, degrees): 6.946 6.946 6.946 90.00 90.00 90.00
Space group F-43m (No. 216)
Unique sites:
La1 0.000 0.000 0.000
Sb1 0.000 0.000 0.500
Pd1 0.250 0.250 0.750
Rh1 0.250 0.250 0.250

Values from the calculation:
Crystal system: cubic
Uncorrected formation energy in meV per atom: -670
Relative energy among the computed polymorphs in meV per atom: 29.7


No. 13
The following is a PBE-GGA calculation of an optimized crystal structure of FeHPd3, from Alexandria.

Lattice parameters (Å, degrees): 3.959 3.959 3.959 90.00 90.00 90.00
Space group Pm-3m (No. 221)
Unique sites:
Fe1 0.000 0.000 0.000
H1 0.500 0.500 0.500
Pd1 0.000 0.500 0.500

Values from the calculation:
Crystal system: cubic
Relative energy among the computed polymorphs in meV per atom: 0.0


No. 14
The following is a PBE-GGA calculation of an optimized crystal structure of BaAc2P2N6, from Alexandria.

Lattice parameters (Å, degrees): 6.025 6.078 7.035 112.76 102.01 106.20
Space group P-1 (No. 2)
Unique sites:
Ba1 0.000 0.000 0.000
Ac1 0.276 0.395 0.671
P1 0.452 0.982 0.732
N1 0.158 0.882 0.639
N2 0.389 0.720 0.091
N3 0.428 0.222 0.350

Values from the calculation:
Crystal system: triclinic
Uncorrected formation energy in meV per atom: -915


No. 15
The following is a PBE-GGA calculation of an optimized crystal structure of Rb2MgPd, from Alexandria.

Lattice parameters (Å, degrees): 12.848 12.848 5.110 90.00 90.00 90.00
Space group I-42d (No. 122)
Unique sites:
Rb1 0.072 0.750 0.125
Mg1 0.000 0.000 0.500
Pd1 0.000 0.000 0.000

Values from the calculation:
Crystal system: tetragonal
E in eV/cell: -34.05


No. 16
The following is a PBE-GGA calculation of an optimized crystal structure of Tb5In2O2, from Alexandria.

Lattice parameters (Å, degrees): 6.795 18.755 6.848 90.00 90.00 90.00
Space group Imma (No. 74)
Unique sites:
Tb1 0.000 0.137 0.059
Tb2 0.250 0.008 0.750
Tb3 0.250 0.250 0.750
In1 0.000 0.125 0.518
O1 0.000 0.000 0.000
O2 0.000 0.250 0.971

Values from the calculation:
Crystal system: orthorhombic
Uncorrected formation energy in meV per atom: -1490


No. 17
The following is a PBE-GGA calculation of an optimized crystal structure of MoIrOsW, from Alexandria.

Lattice parameters (Å, degrees): 3.892 3.941 3.946 90.00 90.00 90.00
Space group Pmmm (No. 47)
Unique sites:
Mo1 0.000 0.000 0.000
Ir1 0.500 0.000 0.500
Os1 0.500 0.500 0.000
W1 0.000 0.500 0.500

Values from the calculation:
Crystal system: orthorhombic
E in eV/cell: -44.37


No. 18
The following is a PBE-GGA calculation of an optimized crystal structure of Mn2V5ReRu2, from Alexandria.

Lattice parameters (Å, degrees): 9.444 9.444 3.047 90.00 90.00 90.00
Space group P4/mbm (No. 127)
Unique sites:
Mn1 0.127 0.373 0.000
V1 0.000 0.500 0.500
V2 0.066 0.201 0.500
Re1 0.000 0.000 0.000
Ru1 0.171 0.671 0.000

Values from the calculation:
Crystal system: tetragonal
E in eV/cell: -187.74


No. 19
The following is a PBE-GGA calculation of an optimized crystal structure of K6H2BrCl3, from Alexandria.

Lattice parameters (Å, degrees): 19.278 4.430 8.897 90.00 103.38 90.00
Space group C2/m (No. 12)
Unique sites:
K1 0.007 0.000 0.264
K2 0.171 0.500 0.098
K3 0.172 0.500 0.573
H1 0.171 0.000 0.341
Br1 0.000 0.500 0.000
Cl1 0.000 0.500 0.500
Cl2 0.165 0.000 0.829

Values from the calculation:
Crystal system: monoclinic
E in eV/cell: -72.62


No. 20
The following is a PBE-GGA calculation of an optimized crystal structure of ScNiW2, from Alexandria.

Lattice parameters (Å, degrees): 2.745 2.745 8.408 90.00 90.00 90.00
Space group P4mm (No. 99)
Unique sites:
Sc1 0.000 0.000 0.000
Ni1 0.500 0.500 0.761
W1 0.000 0.000 0.555
W2 0.500 0.500 0.282

Values from the calculation:
Crystal system: tetragonal
Relative energy among the computed polymorphs in meV per atom: 47.3